No. 1
# LaAs8 SCAN single point on PBEsol structure
# Total DFT energy (no corrections) (eV/cell): -204.0
# Symmetry: I4/mmm (139)
# Crystal system: tetragonal
# DFT formation energy (eV/atom): 0.07
data_LaAs8
_symmetry_space_group_name_H-M 'P 1'
_symmetry_Int_Tables_number 1
_symmetry_space_group_name_Hall 'P 1'
_cell_length_a 7.436
_cell_length_b 7.436
_cell_length_c 7.436
_cell_angle_alpha 93.20
_cell_angle_beta 93.20
_cell_angle_gamma 152.66
loop_
_atom_site_label
_atom_site_type_symbol
_atom_site_fract_x
_atom_site_fract_y
_atom_site_fract_z
_atom_site_occupancy
La1 La 0.000 0.000 0.000 1
As1 As 0.000 0.302 0.302 1
As2 As 0.000 0.698 0.698 1
As3 As 0.302 0.000 0.302 1
As4 As 0.325 0.325 0.650 1
As5 As 0.325 0.675 0.000 1
As6 As 0.675 0.325 0.000 1
As7 As 0.675 0.675 0.350 1
As8 As 0.698 0.000 0.698 1



No. 2
# La5As SCAN single point on PBEsol structure
# Total DFT energy (no corrections) (eV/cell): -233.4
# Symmetry: P6/mmm (191)
# Crystal system: hexagonal
# DFT formation energy (eV/atom): 0.39
data_La5As
_symmetry_space_group_name_H-M 'P 1'
_symmetry_Int_Tables_number 1
_symmetry_space_group_name_Hall 'P 1'
_cell_length_a 6.151
_cell_length_b 6.151
_cell_length_c 5.770
_cell_angle_alpha 90.00
_cell_angle_beta 90.00
_cell_angle_gamma 120.00
loop_
_atom_site_label
_atom_site_type_symbol
_atom_site_fract_x
_atom_site_fract_y
_atom_site_fract_z
_atom_site_occupancy
La1 La 0.000 0.500 0.000 1
La2 La 0.333 0.667 0.500 1
La3 La 0.500 0.000 0.000 1
La4 La 0.500 0.500 0.000 1
La5 La 0.667 0.333 0.500 1
As1 As 0.000 0.000 0.500 1



No. 3
# La2As SCAN single point on PBEsol structure
# Total DFT energy (no corrections) (eV/cell): -329.1
# Symmetry: P-62m (189)
# Crystal system: hexagonal
# DFT formation energy (eV/atom): -1.10
data_La2As
_symmetry_space_group_name_H-M 'P 1'
_symmetry_Int_Tables_number 1
_symmetry_space_group_name_Hall 'P 1'
_cell_length_a 8.232
_cell_length_b 8.232
_cell_length_c 4.203
_cell_angle_alpha 90.00
_cell_angle_beta 90.00
_cell_angle_gamma 120.00
loop_
_atom_site_label
_atom_site_type_symbol
_atom_site_fract_x
_atom_site_fract_y
_atom_site_fract_z
_atom_site_occupancy
La1 La 0.000 0.423 0.000 1
La2 La 0.000 0.738 0.500 1
La3 La 0.262 0.262 0.500 1
La4 La 0.423 0.000 0.000 1
La5 La 0.577 0.577 0.000 1
La6 La 0.738 0.000 0.500 1
As1 As 0.000 0.000 0.000 1
As2 As 0.333 0.667 0.500 1
As3 As 0.667 0.333 0.500 1



No. 4
# LaAs SCAN single point on PBEsol structure
# Total DFT energy (no corrections) (eV/cell): -132.3
# Symmetry: P4/nmm (129)
# Crystal system: tetragonal
# DFT formation energy (eV/atom): -1.43
data_LaAs
_symmetry_space_group_name_H-M 'P 1'
_symmetry_Int_Tables_number 1
_symmetry_space_group_name_Hall 'P 1'
_cell_length_a 5.324
_cell_length_b 5.324
_cell_length_c 3.600
_cell_angle_alpha 90.00
_cell_angle_beta 90.00
_cell_angle_gamma 90.00
loop_
_atom_site_label
_atom_site_type_symbol
_atom_site_fract_x
_atom_site_fract_y
_atom_site_fract_z
_atom_site_occupancy
La1 La 0.250 0.250 0.125 1
La2 La 0.750 0.750 0.875 1
As1 As 0.250 0.750 0.500 1
As2 As 0.750 0.250 0.500 1



No. 5
# La5As SCAN single point on PBEsol structure
# Total DFT energy (no corrections) (eV/cell): -237.9
# Symmetry: Cmmm (65)
# Crystal system: orthorhombic
# DFT formation energy (eV/atom): -0.36
data_La5As
_symmetry_space_group_name_H-M 'P 1'
_symmetry_Int_Tables_number 1
_symmetry_space_group_name_Hall 'P 1'
_cell_length_a 8.128
_cell_length_b 8.128
_cell_length_c 4.785
_cell_angle_alpha 90.00
_cell_angle_beta 90.00
_cell_angle_gamma 145.84
loop_
_atom_site_label
_atom_site_type_symbol
_atom_site_fract_x
_atom_site_fract_y
_atom_site_fract_z
_atom_site_occupancy
La1 La 0.000 0.000 0.000 1
La2 La 0.154 0.846 0.500 1
La3 La 0.350 0.650 0.000 1
La4 La 0.650 0.350 0.000 1
La5 La 0.846 0.154 0.500 1
As1 As 0.500 0.500 0.500 1



No. 6
# LaAs5 SCAN single point on PBEsol structure
# Total DFT energy (no corrections) (eV/cell): -144.7
# Symmetry: P4/mmm (123)
# Crystal system: tetragonal
# DFT formation energy (eV/atom): -0.10
data_LaAs5
_symmetry_space_group_name_H-M 'P 1'
_symmetry_Int_Tables_number 1
_symmetry_space_group_name_Hall 'P 1'
_cell_length_a 3.609
_cell_length_b 3.609
_cell_length_c 9.511
_cell_angle_alpha 90.00
_cell_angle_beta 90.00
_cell_angle_gamma 90.00
loop_
_atom_site_label
_atom_site_type_symbol
_atom_site_fract_x
_atom_site_fract_y
_atom_site_fract_z
_atom_site_occupancy
La1 La 0.000 0.000 0.000 1
As1 As 0.000 0.000 0.321 1
As2 As 0.000 0.000 0.679 1
As3 As 0.500 0.500 0.204 1
As4 As 0.500 0.500 0.500 1
As5 As 0.500 0.500 0.796 1